a:
Material: Pr3Nd2Er3
Method: DFT, PBE-GGA
State: optimized geometry

The space group is C2/m (No. 12) and the conventional cell measures 16.3255, 5.8678 and 6.0985 Å, with angles of 90.00, 111.03 and 90.00 degrees. The asymmetric unit holds Pr at (0.0000, 0.0000, 0.0000), Pr at (0.1340, 0.0000, 0.6919), Nd at (0.2493, 0.5000, 0.6832), Er at (0.0000, 0.5000, 0.5000) and Er at (0.1287, 0.5000, 0.0805).

b:
Material: Pr3Nd2Er3
Method: DFT, PBE-GGA
State: optimized geometry

The space group is Immm (No. 71) and the conventional cell measures 5.1047, 5.1489 and 20.5358 Å, with angles of 90.00, 90.00 and 90.00 degrees. The asymmetric unit holds Pr at (0.0000, 0.0000, 0.0000), Pr at (0.0000, 0.5000, 0.1231), Nd at (0.0000, 0.0000, 0.2494), Er at (0.0000, 0.0000, 0.5000) and Er at (0.0000, 0.5000, 0.3755).

Bottom line: b, by a margin of 7.1 kJ/mol of atoms.

a:
Material: PrNd3Er3
Method: DFT, PBE-GGA
State: optimized geometry

The space group is R-3 (No. 148, hexagonal axes) and the conventional cell measures 8.7283, 8.7283 and 22.1971 Å, with angles of 90.00, 90.00 and 120.00 degrees. The asymmetric unit holds Pr at (0.0000, 0.0000, 0.1553), Nd at (0.0481, 0.6005, 0.3808) and Er at (0.0048, 0.7748, 0.5583).

b:
Material: PrNd3Er3
Method: DFT, PBE-GGA
State: optimized geometry

The space group is P6_3/m (No. 176) and the conventional cell measures 9.6798, 9.6798 and 5.8010 Å, with angles of 90.00, 90.00 and 120.00 degrees. The asymmetric unit holds Pr at (0.3333, 0.6667, 0.2500), Nd at (0.0957, 0.4739, 0.7500) and Er at (0.0462, 0.2315, 0.2500).

Bottom line: b, by a margin of 16.0 kJ/mol of atoms.

a:
Material: Pr4Nd5Er
Method: DFT, PBE-GGA
State: optimized geometry

The space group is P4/mmm (No. 123) and the conventional cell measures 4.3289, 4.3289 and 18.7468 Å, with angles of 90.00, 90.00 and 90.00 degrees. The asymmetric unit holds Pr at (0.0000, 0.0000, 0.1013), Pr at (0.0000, 0.0000, 0.2990), Nd at (0.5000, 0.5000, 0.0000), Nd at (0.5000, 0.5000, 0.2019), Nd at (0.5000, 0.5000, 0.4036) and Er at (0.0000, 0.0000, 0.5000).

b:
Material: Pr4Nd5Er
Method: DFT, PBE-GGA
State: optimized geometry

The space group is C2/m (No. 12) and the conventional cell measures 19.1080, 3.6778 and 10.4043 Å, with angles of 90.00, 105.96 and 90.00 degrees. The asymmetric unit holds Pr at (0.0987, 0.0000, 0.2971), Pr at (0.1992, 0.5000, 0.0997), Nd at (0.0000, 0.5000, 0.5000), Nd at (0.0986, 0.0000, 0.8017), Nd at (0.1998, 0.5000, 0.5999) and Er at (0.0000, 0.5000, 0.0000).

Bottom line: b, by a margin of 8.9 kJ/mol of atoms.

a:
Material: Pr2NdEr6
Method: DFT, PBE-GGA
State: optimized geometry

The space group is C2/m (No. 12) and the conventional cell measures 16.6390, 10.3082 and 3.4945 Å, with angles of 90.00, 102.04 and 90.00 degrees. The asymmetric unit holds Pr at (0.1567, 0.0000, 0.1556), Nd at (0.0000, 0.5000, 0.0000), Er at (0.0000, 0.1879, 0.5000) and Er at (0.1778, 0.3331, 0.1790).

b:
Material: Pr2NdEr6
Method: DFT, PBE-GGA
State: optimized geometry

The space group is C2/c (No. 15) and the conventional cell measures 14.1740, 14.0914 and 6.4387 Å, with angles of 90.00, 114.18 and 90.00 degrees. The asymmetric unit holds Pr at (0.1476, 0.0391, 0.4609), Nd at (0.0000, 0.3655, 0.2500), Er at (0.0561, 0.1858, 0.0185), Er at (0.1270, 0.4291, 0.9458) and Er at (0.2055, 0.2565, 0.7032).

Bottom line: a, by a margin of 9.2 kJ/mol of atoms.

a:
Material: Pr12Nd6Er
Method: DFT, PBE-GGA
State: optimized geometry

The space group is R-3 (No. 148, hexagonal axes) and the conventional cell measures 12.3954, 12.3954 and 15.4861 Å, with angles of 90.00, 90.00 and 120.00 degrees. The asymmetric unit holds Pr at (0.0008, 0.8291, 0.1897), Pr at (0.0486, 0.8511, 0.4164), Nd at (0.0149, 0.4246, 0.6864) and Er at (0.0000, 0.0000, 0.0000).

b:
Material: Pr12Nd6Er
Method: DFT, PBE-GGA
State: optimized geometry

The space group is R-3m (No. 166, hexagonal axes) and the conventional cell measures 16.6441, 16.6441 and 8.6896 Å, with angles of 90.00, 90.00 and 120.00 degrees. The asymmetric unit holds Pr at (0.0000, 0.3797, 0.0000), Pr at (0.0944, 0.5472, 0.3183), Nd at (0.0836, 0.1672, 0.1456) and Er at (0.0000, 0.0000, 0.5000).

Bottom line: a, by a margin of 16.4 kJ/mol of atoms.

a:
Material: Pr2Nd5Er2
Method: DFT, PBE-GGA
State: optimized geometry

The space group is C2/m (No. 12) and the conventional cell measures 11.5427, 5.1638 and 10.9522 Å, with angles of 90.00, 108.46 and 90.00 degrees. The asymmetric unit holds Pr at (0.0014, 0.0000, 0.1691), Nd at (0.0000, 0.0000, 0.5000), Nd at (0.1678, 0.5000, 0.0552), Nd at (0.1676, 0.5000, 0.3898) and Er at (0.1666, 0.5000, 0.7221).

b:
Material: Pr2Nd5Er2
Method: DFT, PBE-GGA
State: optimized geometry

The space group is Ima2 (No. 46) and the conventional cell measures 13.1239, 8.6360 and 11.1061 Å, with angles of 90.00, 90.00 and 90.00 degrees. The asymmetric unit holds Pr at (0.0000, 0.0000, 0.0000), Pr at (0.2500, 0.1025, 0.1411), Nd at (0.0783, 0.6903, 0.7478), Nd at (0.1334, 0.0612, 0.7481), Nd at (0.2500, 0.7489, 0.9882) and Er at (0.1124, 0.1185, 0.4484).

Bottom line: a, by a margin of 17.0 kJ/mol of atoms.

a:
Material: Pr2Nd5Er12
Method: DFT, PBE-GGA
State: optimized geometry

The space group is C2/m (No. 12) and the conventional cell measures 18.3137, 7.0813 and 10.3625 Å, with angles of 90.00, 111.15 and 90.00 degrees. The asymmetric unit holds Pr at (0.0000, 0.2209, 0.0000), Nd at (0.0000, 0.5000, 0.5000), Nd at (0.1820, 0.0000, 0.2129), Nd at (0.1896, 0.5000, 0.1853), Er at (0.0042, 0.0000, 0.6712), Er at (0.0253, 0.5000, 0.2455), Er at (0.1584, 0.2532, 0.8678) and Er at (0.1622, 0.2469, 0.5205).

b:
Material: Pr2Nd5Er12
Method: DFT, PBE-GGA
State: optimized geometry

The space group is C2/m (No. 12) and the conventional cell measures 15.6527, 9.3072 and 8.6482 Å, with angles of 90.00, 92.08 and 90.00 degrees. The asymmetric unit holds Pr at (0.0000, 0.1787, 0.0000), Nd at (0.0000, 0.5000, 0.5000), Nd at (0.2053, 0.0000, 0.0158), Nd at (0.2305, 0.5000, 0.5726), Er at (0.0567, 0.0000, 0.3342), Er at (0.0797, 0.5000, 0.8772), Er at (0.1288, 0.1889, 0.6605) and Er at (0.1497, 0.3219, 0.2428).

Bottom line: b, by a margin of 4.5 kJ/mol of atoms.

a:
Material: Pr4NdEr3
Method: DFT, PBE-GGA
State: optimized geometry

The space group is Pmna (No. 53) and the conventional cell measures 10.2961, 7.2505 and 7.2454 Å, with angles of 90.00, 90.00 and 90.00 degrees. The asymmetric unit holds Pr at (0.0000, 0.0000, 0.0000), Pr at (0.0000, 0.5000, 0.5000), Pr at (0.2500, 0.2481, 0.2500), Nd at (0.0000, 0.5000, 0.0000), Er at (0.0000, 0.0000, 0.5000) and Er at (0.2500, 0.2471, 0.7500).

b:
Material: Pr4NdEr3
Method: DFT, PBE-GGA
State: optimized geometry

The space group is Pmn2_1 (No. 31) and the conventional cell measures 11.7051, 7.3664 and 6.3450 Å, with angles of 90.00, 90.00 and 90.00 degrees. The asymmetric unit holds Pr at (0.0000, 0.1301, 0.0000), Pr at (0.0000, 0.8685, 0.5151), Pr at (0.2444, 0.1263, 0.3440), Nd at (0.0000, 0.6249, 0.0111), Er at (0.0000, 0.3809, 0.5079) and Er at (0.2498, 0.3806, 0.8418).

Bottom line: a, by a margin of 1.3 kJ/mol of atoms.

a:
Material: PrNd6Er12
Method: DFT, PBE-GGA
State: optimized geometry

The space group is R-3m (No. 166, hexagonal axes) and the conventional cell measures 13.2341, 13.2341 and 12.6302 Å, with angles of 90.00, 90.00 and 120.00 degrees. The asymmetric unit holds Pr at (0.0000, 0.0000, 0.0000), Nd at (0.0359, 0.5179, 0.6178), Er at (0.0000, 0.2560, 0.5000) and Er at (0.0916, 0.1833, 0.2642).

b:
Material: PrNd6Er12
Method: DFT, PBE-GGA
State: optimized geometry

The space group is R-3m (No. 166, hexagonal axes) and the conventional cell measures 11.0795, 11.0795 and 17.4702 Å, with angles of 90.00, 90.00 and 120.00 degrees. The asymmetric unit holds Pr at (0.0000, 0.0000, 0.0000), Nd at (0.0690, 0.5345, 0.7661), Er at (0.1047, 0.5523, 0.4143) and Er at (0.1062, 0.2123, 0.4087).

Bottom line: b, by a margin of 9.6 kJ/mol of atoms.